## NaAsHPb2 (PBE-GGA)

Data for NaAsHPb2 after structural relaxation.

Cell: 4.9834 4.9834 4.4368 Å, 90.00 90.00 90.00°
Positions (direct):
Pb1 0.0000 0.5000 0.0000
Pb2 0.5000 0.0000 0.0000
Na1 0.0000 0.0000 0.5000
As1 0.5000 0.5000 0.5000
H1 0.0000 0.0000 0.0000

Properties
Density of states at the Fermi level (states/eV/atom): 0.28
SG: P4/mmm (123)
VASP energy (eV for the cell shown): -16.4